Pm2TeSe | PBE | optimized geometry Values from VASP.

Cell and atoms, written as Quantum ESPRESSO input:
```
&SYSTEM
  ibrav = 0, nat = 4, ntyp = 3
/
ATOMIC_SPECIES
Pm 145.00 Pm.upf
Se 78.96 Se.upf
Te 127.60 Te.upf
CELL_PARAMETERS angstrom
5.3077 0.0000 0.0000
2.6538 4.5966 0.0000
2.6538 1.5322 4.3337
ATOMIC_POSITIONS crystal
Pm 0.7500 0.7500 0.7500
Pm 0.2500 0.2500 0.2500
Se 0.0000 0.0000 0.0000
Te 0.5000 0.5000 0.5000
```

The uncorrected formation energy is -1.43 eV per atom. As for the symmetry: Fm-3m (225). The value obtained for the energy above the most stable polymorph in this dataset is 225.5 meV/atom.

Ho3PuAg3Se8 | PBE | optimized geometry Values from VASP.

Cell and atoms, written as Quantum ESPRESSO input:
```
&SYSTEM
  ibrav = 0, nat = 15, ntyp = 4
/
ATOMIC_SPECIES
Se 78.96 Se.upf
Ho 164.93 Ho.upf
Pu 244.00 Pu.upf
Ag 107.87 Ag.upf
CELL_PARAMETERS angstrom
-0.0956 -8.2908 -0.4690
5.6965 3.8292 4.6716
-7.7663 -0.0282 2.0828
ATOMIC_POSITIONS crystal
Se 0.2476 0.9955 0.7420
Se 0.2520 0.0045 0.2580
Se 0.2509 0.5018 0.2537
Se 0.7480 0.9955 0.7420
Se 0.7524 0.0045 0.2580
Se 0.7525 0.5050 0.2581
Se 0.2475 0.4950 0.7419
Se 0.7491 0.4982 0.7463
Ho 0.0000 0.5000 0.5000
Ho 0.5000 0.0000 0.5000
Ho 0.5000 0.5000 0.5000
Pu 0.0000 0.0000 0.5000
Ag 0.0000 0.0000 0.0000
Ag 0.5000 0.5000 0.0000
Ag 0.0000 0.5000 0.0000
```

The uncorrected formation energy is -1.16 eV per atom. As for the symmetry: C2/m (12).

NbGaTcBr2 | PBE | optimized geometry Values from VASP.

Cell and atoms, written as Quantum ESPRESSO input:
```
&SYSTEM
  ibrav = 0, nat = 5, ntyp = 4
/
ATOMIC_SPECIES
Br 79.90 Br.upf
Nb 92.91 Nb.upf
Tc 98.00 Tc.upf
Ga 69.72 Ga.upf
CELL_PARAMETERS angstrom
4.9121 0.0000 0.0000
0.0000 5.0625 0.0000
0.0000 0.0000 4.9121
ATOMIC_POSITIONS crystal
Br 0.0000 0.0000 0.5000
Br 0.5000 0.0000 0.0000
Nb 0.5000 0.5000 0.5000
Tc 0.0000 0.5000 0.0000
Ga 0.0000 0.0000 0.0000
```

The uncorrected formation energy is 1.52 eV per atom. As for the symmetry: P4/mmm (123).

MgSc5Ga | PBE | optimized geometry Values from VASP.

Cell and atoms, written as Quantum ESPRESSO input:
```
&SYSTEM
  ibrav = 0, nat = 14, ntyp = 3
/
ATOMIC_SPECIES
Mg 24.30 Mg.upf
Sc 44.96 Sc.upf
Ga 69.72 Ga.upf
CELL_PARAMETERS angstrom
6.1700 0.7809 -0.2963
2.6980 5.6036 -0.2963
2.6697 1.9220 9.9723
ATOMIC_POSITIONS crystal
Mg 0.7761 0.2239 0.2500
Mg 0.2239 0.7761 0.7500
Sc 0.5481 0.7360 0.9510
Sc 0.3397 0.1331 0.3419
Sc 0.1331 0.3397 0.8419
Sc 0.4519 0.2640 0.0490
Sc 0.2701 0.7299 0.2500
Sc 0.7299 0.2701 0.7500
Sc 0.6603 0.8669 0.6581
Sc 0.8669 0.6603 0.1581
Sc 0.7360 0.5481 0.4510
Sc 0.2640 0.4519 0.5490
Ga 0.0000 0.0000 0.5000
Ga 0.0000 0.0000 0.0000
```

As for the symmetry: C2/c (15). The formation energy comes out at 0.03 eV per atom.

CaSn2Hg3 | PBE | optimized geometry Values from VASP.

Cell and atoms, written as Quantum ESPRESSO input:
```
&SYSTEM
  ibrav = 0, nat = 12, ntyp = 3
/
ATOMIC_SPECIES
Sn 118.71 Sn.upf
Ca 40.08 Ca.upf
Hg 200.59 Hg.upf
CELL_PARAMETERS angstrom
4.7511 0.0000 0.0000
0.0000 4.8311 0.0000
0.0000 0.0000 13.7902
ATOMIC_POSITIONS crystal
Sn 0.0004 0.0000 0.6806
Sn 0.9996 0.5000 0.8194
Sn 0.9996 0.5000 0.1806
Sn 0.0004 0.0000 0.3194
Ca 0.0002 0.5000 0.5000
Ca 0.9998 0.0000 0.0000
Hg 0.4999 0.0000 0.1610
Hg 0.5001 0.5000 0.3390
Hg 0.5001 0.5000 0.6610
Hg 0.4999 0.0000 0.8390
Hg 0.5004 0.0000 0.5000
Hg 0.4996 0.5000 0.0000
```

As for the symmetry: Cmmm (65). The formation energy comes out at -0.22 eV per atom. The value obtained for the energy above the most stable polymorph in this dataset is 0.0 meV/atom.

TiGe2AuBr | PBE | optimized geometry Values from VASP.

Cell and atoms, written as Quantum ESPRESSO input:
```
&SYSTEM
  ibrav = 0, nat = 5, ntyp = 4
/
ATOMIC_SPECIES
Ge 72.64 Ge.upf
Ti 47.87 Ti.upf
Au 196.97 Au.upf
Br 79.90 Br.upf
CELL_PARAMETERS angstrom
4.9053 0.0000 0.0000
0.0000 5.4623 0.0000
0.0000 0.0000 4.9053
ATOMIC_POSITIONS crystal
Ge 0.5000 0.0000 0.0000
Ge 0.0000 0.0000 0.5000
Ti 0.0000 0.5000 0.0000
Au 0.0000 0.0000 0.0000
Br 0.5000 0.5000 0.5000
```

The uncorrected formation energy is 0.62 eV per atom. As for the symmetry: P4/mmm (123).

Na2UN2Cl2 | PBE | optimized geometry Values from VASP.

Cell and atoms, written as Quantum ESPRESSO input:
```
&SYSTEM
  ibrav = 0, nat = 7, ntyp = 4
/
ATOMIC_SPECIES
Na 22.99 Na.upf
N 14.01 N.upf
Cl 35.45 Cl.upf
U 238.03 U.upf
CELL_PARAMETERS angstrom
-1.4077 3.2200 -2.2168
-3.6463 -1.9312 -0.4897
-0.1393 2.7210 7.9349
ATOMIC_POSITIONS crystal
Na 0.6298 0.6298 0.2595
Na 0.3702 0.3702 0.7405
N 0.5000 0.0000 0.0000
N 0.0000 0.5000 0.0000
Cl 0.1753 0.1753 0.3505
Cl 0.8247 0.8247 0.6495
U 0.0000 0.0000 0.0000
```

The uncorrected formation energy is -1.36 eV per atom. As for the symmetry: I4/mmm (139).

Nd2PdPt | PBE | optimized geometry Values from VASP.

Cell and atoms, written as Quantum ESPRESSO input:
```
&SYSTEM
  ibrav = 0, nat = 4, ntyp = 3
/
ATOMIC_SPECIES
Pt 195.08 Pt.upf
Pd 106.42 Pd.upf
Nd 144.24 Nd.upf
CELL_PARAMETERS angstrom
3.9827 0.0000 0.0000
1.9913 3.4491 0.0000
1.9913 1.1497 8.8824
ATOMIC_POSITIONS crystal
Pt 0.5000 0.5000 0.5000
Pd 0.0000 0.0000 0.0000
Nd 0.1018 0.1018 0.6947
Nd 0.8982 0.8982 0.3053
```

As for the symmetry: R-3m (166). The formation energy comes out at -0.33 eV per atom.